Crystalline FeAgCl6 at its relaxed geometry. Source: the Alexandria database, functional PBE.

POSCAR file:
```
FeAgCl6
1.0
-1.559 -5.111 3.657
3.016 5.001 4.455
-4.763 2.349 5.074
Ag Cl Fe
1 6 1
Direct
0.500 0.000 0.000
0.883 0.261 0.000
0.117 0.739 0.000
0.117 0.000 0.261
0.883 0.000 0.739
0.622 0.739 0.261
0.378 0.261 0.739
0.000 0.000 0.000
```

Values from the calculation:
Uncorrected formation energy: -406 meV/atom
Theoretical density: 2.262 g/cm³


Crystalline FeAgCl2 at its relaxed geometry. Source: the Alexandria database, functional PBE.

POSCAR file:
```
FeAgCl2
1.0
-1.043 -3.029 0.110
2.425 -0.764 1.952
-4.418 1.746 6.171
Cl Fe Ag
2 1 1
Direct
0.000 0.000 0.926
0.500 0.500 0.340
0.000 0.000 0.500
0.500 0.500 0.734
```

Values from the calculation:
Uncorrected formation energy: -59 meV/atom
Theoretical density: 4.868 g/cm³


Crystalline Fe2Ag5Cl12 at its relaxed geometry. Source: the Alexandria database, functional PBE.

POSCAR file:
```
Fe2Ag5Cl12
1.0
7.110 0.000 0.000
-3.555 7.659 -3.312
0.000 -0.850 9.760
Cl Ag Fe
12 5 2
Direct
0.552 0.104 0.196
0.630 0.747 0.388
0.895 0.292 0.010
0.603 0.708 0.990
0.116 0.747 0.388
0.448 0.896 0.804
0.370 0.253 0.612
0.050 0.101 0.194
0.950 0.899 0.806
0.884 0.253 0.612
0.397 0.292 0.010
0.105 0.708 0.990
0.627 0.254 0.792
0.000 0.000 0.500
0.373 0.746 0.208
0.750 0.501 0.217
0.250 0.499 0.783
0.246 0.000 0.000
0.754 0.000 0.000
```

Values from the calculation:
Uncorrected formation energy: -527 meV/atom
Theoretical density: 3.495 g/cm³


Electronic total energy, record by record: -3.2050, -3.8109, -3.3344 eV per atom